DFT (meta-GGA SCAN) results for a crystal of MgCd2Hg relaxed with PBEsol.

```
data_MgCd2Hg
_cell_length_a 6.2201
_cell_length_b 6.1266
_cell_length_c 5.3022
_cell_angle_alpha 90.00
_cell_angle_beta 124.47
_cell_angle_gamma 90.00
_symmetry_space_group_name_H-M 'C 1 2 1'
_symmetry_Int_Tables_number 5
_symmetry_space_group_name_Hall 'C 2y'
loop_
_atom_site_label
_atom_site_type_symbol
_atom_site_fract_x
_atom_site_fract_y
_atom_site_fract_z
Mg1 Mg 0.0000 0.0000 0.0000
Cd1 Cd 0.0000 0.2502 0.5000
Cd2 Cd 0.0000 0.4995 0.0000
Hg1 Hg 0.0000 0.7518 0.5000
```

## Properties
Its size of the total moment is 0.00 μB/cell. The distance to the lowest polymorph of the same formula comes out at 7 meV per atom. The electronic total energy is -33.612 eV/atom. Its density is 8.966 g/cm³. The formation energy is -0.1196 eV/atom.

***

DFT (meta-GGA SCAN) results for a crystal of Mg2MnCdHg relaxed with PBEsol.

```
data_Mg2MnCdHg
_cell_length_a 5.1308
_cell_length_b 5.1308
_cell_length_c 5.0702
_cell_angle_alpha 90.00
_cell_angle_beta 90.00
_cell_angle_gamma 90.00
_symmetry_space_group_name_H-M 'P 4/m m m'
_symmetry_Int_Tables_number 123
_symmetry_space_group_name_Hall '-P 4 2'
loop_
_atom_site_label
_atom_site_type_symbol
_atom_site_fract_x
_atom_site_fract_y
_atom_site_fract_z
Mg1 Mg 0.0000 0.5000 0.0000
Mn1 Mn 0.0000 0.0000 0.5000
Cd1 Cd 0.5000 0.5000 0.5000
Hg1 Hg 0.0000 0.0000 0.0000
```

## Properties
Its size of the total moment is 4.77 μB/cell. The electronic total energy is -25.131 eV/atom. Its density is 5.182 g/cm³. The formation energy is 0.2252 eV/atom.

***

DFT (meta-GGA SCAN) results for a crystal of MnCdHg relaxed with PBEsol.

```
data_MnCdHg
_cell_length_a 3.0575
_cell_length_b 3.0575
_cell_length_c 6.9099
_cell_angle_alpha 90.00
_cell_angle_beta 90.00
_cell_angle_gamma 120.00
_symmetry_space_group_name_H-M 'P 3 m 1'
_symmetry_Int_Tables_number 156
_symmetry_space_group_name_Hall 'P 3 -2"'
loop_
_atom_site_label
_atom_site_type_symbol
_atom_site_fract_x
_atom_site_fract_y
_atom_site_fract_z
Mn1 Mn 0.0000 0.0000 0.0000
Cd1 Cd 0.3333 0.6667 0.6809
Hg1 Hg 0.6667 0.3333 0.3151
```

## Properties
Its size of the total moment is 4.04 μB/cell. The electronic total energy is -38.899 eV/atom. Its density is 10.921 g/cm³. The formation energy is 0.0463 eV/atom.

***

DFT (meta-GGA SCAN) results for a crystal of MnCdHg relaxed with PBEsol.

```
data_MnCdHg
_cell_length_a 3.0081
_cell_length_b 4.2129
_cell_length_c 8.6400
_cell_angle_alpha 90.00
_cell_angle_beta 90.00
_cell_angle_gamma 90.00
_symmetry_space_group_name_H-M 'I m m 2'
_symmetry_Int_Tables_number 44
_symmetry_space_group_name_Hall 'I 2 -2'
loop_
_atom_site_label
_atom_site_type_symbol
_atom_site_fract_x
_atom_site_fract_y
_atom_site_fract_z
Mn1 Mn 0.0000 0.0000 0.0000
Cd1 Cd 0.0000 0.0000 0.3372
Hg1 Hg 0.0000 0.0000 0.6654
```

## Properties
Its size of the total moment is 8.47 μB/cell. The electronic total energy is -38.906 eV/atom. Its density is 11.160 g/cm³. The formation energy is 0.0389 eV/atom.

***

DFT (meta-GGA SCAN) results for a crystal of Mn2CdHg relaxed with PBEsol.

```
data_Mn2CdHg
_cell_length_a 2.9692
_cell_length_b 3.8284
_cell_length_c 5.8697
_cell_angle_alpha 90.00
_cell_angle_beta 90.00
_cell_angle_gamma 90.00
_symmetry_space_group_name_H-M 'P m m m'
_symmetry_Int_Tables_number 47
_symmetry_space_group_name_Hall '-P 2 2'
loop_
_atom_site_label
_atom_site_type_symbol
_atom_site_fract_x
_atom_site_fract_y
_atom_site_fract_z
Mn1 Mn 0.0000 0.0000 0.2488
Cd1 Cd 0.5000 0.5000 0.5000
Hg1 Hg 0.5000 0.5000 0.0000
```

## Properties
Its size of the total moment is 7.89 μB/cell. The electronic total energy is -33.814 eV/atom. Its density is 10.524 g/cm³. The formation energy is -0.0417 eV/atom.

***

DFT (meta-GGA SCAN) results for a crystal of MnCdHg relaxed with PBEsol.

```
data_MnCdHg
_cell_length_a 3.0344
_cell_length_b 3.0344
_cell_length_c 11.7643
_cell_angle_alpha 90.00
_cell_angle_beta 90.00
_cell_angle_gamma 90.00
_symmetry_space_group_name_H-M 'I 4 m m'
_symmetry_Int_Tables_number 107
_symmetry_space_group_name_Hall 'I 4 -2'
loop_
_atom_site_label
_atom_site_type_symbol
_atom_site_fract_x
_atom_site_fract_y
_atom_site_fract_z
Mn1 Mn 0.0000 0.0000 0.0000
Cd1 Cd 0.0000 0.0000 0.6571
Hg1 Hg 0.0000 0.0000 0.3454
```

## Properties
Its size of the total moment is 8.01 μB/cell. The electronic total energy is -38.959 eV/atom. Its density is 11.281 g/cm³. The formation energy is -0.0140 eV/atom.

***

DFT (meta-GGA SCAN) results for a crystal of Cd3HgMo relaxed with PBEsol.

```
data_Cd3HgMo
_cell_length_a 5.1931
_cell_length_b 5.1931
_cell_length_c 5.1931
_cell_angle_alpha 90.00
_cell_angle_beta 90.00
_cell_angle_gamma 90.00
_symmetry_space_group_name_H-M 'P m -3 m'
_symmetry_Int_Tables_number 221
_symmetry_space_group_name_Hall '-P 4 2 3'
loop_
_atom_site_label
_atom_site_type_symbol
_atom_site_fract_x
_atom_site_fract_y
_atom_site_fract_z
Cd1 Cd 0.0000 0.0000 0.5000
Hg1 Hg 0.0000 0.0000 0.0000
Mo1 Mo 0.5000 0.5000 0.5000
```

## Properties
Its size of the total moment is 5.16 μB/cell. The electronic total energy is -37.785 eV/atom. Its density is 7.515 g/cm³. The formation energy is 1.0734 eV/atom.

***

DFT (meta-GGA SCAN) results for a crystal of CdHg2Mo relaxed with PBEsol.

```
data_CdHg2Mo
_cell_length_a 6.7438
_cell_length_b 6.7438
_cell_length_c 6.7438
_cell_angle_alpha 90.00
_cell_angle_beta 90.00
_cell_angle_gamma 90.00
_symmetry_space_group_name_H-M 'F -4 3 m'
_symmetry_Int_Tables_number 216
_symmetry_space_group_name_Hall 'F -4 2 3'
loop_
_atom_site_label
_atom_site_type_symbol
_atom_site_fract_x
_atom_site_fract_y
_atom_site_fract_z
Cd1 Cd 0.0000 0.0000 0.0000
Hg1 Hg 0.0000 0.0000 0.5000
Hg2 Hg 0.2500 0.2500 0.2500
Mo1 Mo 0.2500 0.2500 0.7500
```

## Properties
Its size of the total moment is 12.37 μB/cell. The electronic total energy is -49.758 eV/atom. Its density is 13.201 g/cm³. The formation energy is 0.6496 eV/atom.

***

DFT (meta-GGA SCAN) results for a crystal of CdHg3Mo relaxed with PBEsol.

```
data_CdHg3Mo
_cell_length_a 5.2711
_cell_length_b 5.2711
_cell_length_c 5.2711
_cell_angle_alpha 90.00
_cell_angle_beta 90.00
_cell_angle_gamma 90.00
_symmetry_space_group_name_H-M 'P m -3 m'
_symmetry_Int_Tables_number 221
_symmetry_space_group_name_Hall '-P 4 2 3'
loop_
_atom_site_label
_atom_site_type_symbol
_atom_site_fract_x
_atom_site_fract_y
_atom_site_fract_z
Cd1 Cd 0.0000 0.0000 0.0000
Hg1 Hg 0.0000 0.0000 0.5000
Mo1 Mo 0.5000 0.5000 0.5000
```

## Properties
Its size of the total moment is 5.26 μB/cell. The electronic total energy is -52.907 eV/atom. Its density is 9.186 g/cm³. The formation energy is 1.0524 eV/atom.

***

DFT (meta-GGA SCAN) results for a crystal of Cd3HgN relaxed with PBEsol.

```
data_Cd3HgN
_cell_length_a 4.5854
_cell_length_b 4.5854
_cell_length_c 4.5854
_cell_angle_alpha 90.00
_cell_angle_beta 90.00
_cell_angle_gamma 90.00
_symmetry_space_group_name_H-M 'P m -3 m'
_symmetry_Int_Tables_number 221
_symmetry_space_group_name_Hall '-P 4 2 3'
loop_
_atom_site_label
_atom_site_type_symbol
_atom_site_fract_x
_atom_site_fract_y
_atom_site_fract_z
Cd1 Cd 0.0000 0.0000 0.5000
Hg1 Hg 0.5000 0.5000 0.5000
N1 N 0.0000 0.0000 0.0000
```

## Properties
For the uncorrected formation energy, the calculation gives 0.35 eV/atom. Its size of the total moment is 0.00 μB/cell. The electronic total energy is -33.390 eV/atom. Its density is 9.504 g/cm³.

***

DFT (meta-GGA SCAN) results for a crystal of CdHgS2N relaxed with PBEsol.

```
data_CdHgS2N
_cell_length_a 5.0757
_cell_length_b 5.0757
_cell_length_c 4.0263
_cell_angle_alpha 90.00
_cell_angle_beta 90.00
_cell_angle_gamma 90.00
_symmetry_space_group_name_H-M 'P 4/m m m'
_symmetry_Int_Tables_number 123
_symmetry_space_group_name_Hall '-P 4 2'
loop_
_atom_site_label
_atom_site_type_symbol
_atom_site_fract_x
_atom_site_fract_y
_atom_site_fract_z
Cd1 Cd 0.0000 0.0000 0.0000
Hg1 Hg 0.5000 0.5000 0.5000
S1 S 0.0000 0.5000 0.5000
N1 N 0.5000 0.5000 0.0000
```

## Properties
For the uncorrected formation energy, the calculation gives 1.07 eV/atom. Its size of the total moment is 1.91 μB/cell. The electronic total energy is -24.360 eV/atom. Its density is 6.262 g/cm³.

***

DFT (meta-GGA SCAN) results for a crystal of CdHgSN2 relaxed with PBEsol.

```
data_CdHgSN2
_cell_length_a 4.1504
_cell_length_b 4.1504
_cell_length_c 5.4716
_cell_angle_alpha 90.00
_cell_angle_beta 90.00
_cell_angle_gamma 90.00
_symmetry_space_group_name_H-M 'P 4/m m m'
_symmetry_Int_Tables_number 123
_symmetry_space_group_name_Hall '-P 4 2'
loop_
_atom_site_label
_atom_site_type_symbol
_atom_site_fract_x
_atom_site_fract_y
_atom_site_fract_z
Cd1 Cd 0.0000 0.0000 0.0000
Hg1 Hg 0.5000 0.5000 0.5000
S1 S 0.0000 0.0000 0.5000
N1 N 0.0000 0.5000 0.0000
```

## Properties
For the uncorrected formation energy, the calculation gives 1.53 eV/atom. Its size of the total moment is 4.08 μB/cell. The electronic total energy is -23.829 eV/atom. Its density is 6.573 g/cm³.

***

DFT (meta-GGA SCAN) results for a crystal of CdHgTeN2 relaxed with PBEsol.

```
data_CdHgTeN2
_cell_length_a 4.2343
_cell_length_b 4.2343
_cell_length_c 6.1522
_cell_angle_alpha 90.00
_cell_angle_beta 90.00
_cell_angle_gamma 90.00
_symmetry_space_group_name_H-M 'P 4/m m m'
_symmetry_Int_Tables_number 123
_symmetry_space_group_name_Hall '-P 4 2'
loop_
_atom_site_label
_atom_site_type_symbol
_atom_site_fract_x
_atom_site_fract_y
_atom_site_fract_z
Cd1 Cd 0.0000 0.0000 0.0000
Hg1 Hg 0.5000 0.5000 0.5000
Te1 Te 0.5000 0.5000 0.0000
N1 N 0.0000 0.5000 0.5000
```

## Properties
For the uncorrected formation energy, the calculation gives 1.57 eV/atom. Its size of the total moment is 3.58 μB/cell. The electronic total energy is -29.314 eV/atom. Its density is 7.055 g/cm³.

***

DFT (meta-GGA SCAN) results for a crystal of NaCd2Hg2 relaxed with PBEsol.

```
data_NaCd2Hg2
_cell_length_a 4.3028
_cell_length_b 4.3028
_cell_length_c 13.4986
_cell_angle_alpha 90.00
_cell_angle_beta 90.00
_cell_angle_gamma 90.00
_symmetry_space_group_name_H-M 'I 4/m m m'
_symmetry_Int_Tables_number 139
_symmetry_space_group_name_Hall '-I 4 2'
loop_
_atom_site_label
_atom_site_type_symbol
_atom_site_fract_x
_atom_site_fract_y
_atom_site_fract_z
Na1 Na 0.0000 0.0000 0.0000
Cd1 Cd 0.0000 0.5000 0.2500
Hg1 Hg 0.0000 0.0000 0.3976
```

## Properties
Its size of the total moment is 0.00 μB/cell. The distance to the lowest polymorph of the same formula comes out at 0 meV per atom. The electronic total energy is -40.424 eV/atom. Its density is 8.624 g/cm³. The formation energy is -0.1490 eV/atom.

***

DFT (meta-GGA SCAN) results for a crystal of NaCd2Hg2 relaxed with PBEsol.

```
data_NaCd2Hg2
_cell_length_a 8.4524
_cell_length_b 8.4524
_cell_length_c 3.2502
_cell_angle_alpha 90.00
_cell_angle_beta 90.00
_cell_angle_gamma 90.00
_symmetry_space_group_name_H-M 'P 4/m b m'
_symmetry_Int_Tables_number 127
_symmetry_space_group_name_Hall '-P 4 2ab'
loop_
_atom_site_label
_atom_site_type_symbol
_atom_site_fract_x
_atom_site_fract_y
_atom_site_fract_z
Na1 Na 0.0000 0.0000 0.0000
Cd1 Cd 0.1358 0.3642 0.5000
Hg1 Hg 0.1619 0.6619 0.0000
```

## Properties
Its size of the total moment is 0.00 μB/cell. The distance to the lowest polymorph of the same formula comes out at 24 meV per atom. The electronic total energy is -40.400 eV/atom. Its density is 9.282 g/cm³. The formation energy is -0.1253 eV/atom.

***

DFT (meta-GGA SCAN) results for a crystal of Na2CdHg2 relaxed with PBEsol.

```
data_Na2CdHg2
_cell_length_a 7.5765
_cell_length_b 7.5765
_cell_length_c 4.3636
_cell_angle_alpha 90.00
_cell_angle_beta 90.00
_cell_angle_gamma 90.00
_symmetry_space_group_name_H-M 'P 4/m b m'
_symmetry_Int_Tables_number 127
_symmetry_space_group_name_Hall '-P 4 2ab'
loop_
_atom_site_label
_atom_site_type_symbol
_atom_site_fract_x
_atom_site_fract_y
_atom_site_fract_z
Na1 Na 0.1679 0.3321 0.0000
Cd1 Cd 0.0000 0.0000 0.5000
Hg1 Hg 0.1361 0.6361 0.5000
```

## Properties
Its size of the total moment is 0.00 μB/cell. The electronic total energy is -35.288 eV/atom. Its density is 7.419 g/cm³. The formation energy is -0.2524 eV/atom.

***

DFT (meta-GGA SCAN) results for a crystal of NbCd3Hg relaxed with PBEsol.

```
data_NbCd3Hg
_cell_length_a 5.5168
_cell_length_b 5.5168
_cell_length_c 5.5168
_cell_angle_alpha 90.00
_cell_angle_beta 90.00
_cell_angle_gamma 90.00
_symmetry_space_group_name_H-M 'P m -3 m'
_symmetry_Int_Tables_number 221
_symmetry_space_group_name_Hall '-P 4 2 3'
loop_
_atom_site_label
_atom_site_type_symbol
_atom_site_fract_x
_atom_site_fract_y
_atom_site_fract_z
Nb1 Nb 0.0000 0.0000 0.0000
Cd1 Cd 0.0000 0.0000 0.5000
Hg1 Hg 0.5000 0.5000 0.5000
```

## Properties
Its size of the total moment is 4.65 μB/cell. The electronic total energy is -37.639 eV/atom. Its density is 6.238 g/cm³. The formation energy is 0.8688 eV/atom.

***

DFT (meta-GGA SCAN) results for a crystal of NdCdHg2 relaxed with PBEsol.

```
data_NdCdHg2
_cell_length_a 7.1832
_cell_length_b 7.1832
_cell_length_c 7.1832
_cell_angle_alpha 90.00
_cell_angle_beta 90.00
_cell_angle_gamma 90.00
_symmetry_space_group_name_H-M 'F m -3 m'
_symmetry_Int_Tables_number 225
_symmetry_space_group_name_Hall '-F 4 2 3'
loop_
_atom_site_label
_atom_site_type_symbol
_atom_site_fract_x
_atom_site_fract_y
_atom_site_fract_z
Nd1 Nd 0.0000 0.0000 0.0000
Cd1 Cd 0.0000 0.0000 0.5000
Hg1 Hg 0.2500 0.2500 0.2500
```

## Properties
Its size of the total moment is 0.00 μB/cell. The electronic total energy is -53.138 eV/atom. Its density is 11.789 g/cm³. The formation energy is -0.5563 eV/atom.

***

DFT (meta-GGA SCAN) results for a crystal of Cd2Ni2Hg relaxed with PBEsol.

```
data_Cd2Ni2Hg
_cell_length_a 6.5926
_cell_length_b 6.5926
_cell_length_c 3.7615
_cell_angle_alpha 90.00
_cell_angle_beta 90.00
_cell_angle_gamma 90.00
_symmetry_space_group_name_H-M 'P 4/m b m'
_symmetry_Int_Tables_number 127
_symmetry_space_group_name_Hall '-P 4 2ab'
loop_
_atom_site_label
_atom_site_type_symbol
_atom_site_fract_x
_atom_site_fract_y
_atom_site_fract_z
Cd1 Cd 0.1647 0.3353 0.0000
Ni1 Ni 0.1280 0.6280 0.5000
Hg1 Hg 0.0000 0.0000 0.5000
```

## Properties
Its size of the total moment is 0.00 μB/cell. The electronic total energy is -32.170 eV/atom. Its density is 11.027 g/cm³. The formation energy is 0.0985 eV/atom.

***

DFT (meta-GGA SCAN) results for a crystal of Cd2NiHg relaxed with PBEsol.

```
data_Cd2NiHg
_cell_length_a 4.0890
_cell_length_b 4.0890
_cell_length_c 4.1588
_cell_angle_alpha 90.00
_cell_angle_beta 90.00
_cell_angle_gamma 90.00
_symmetry_space_group_name_H-M 'P 4/m m m'
_symmetry_Int_Tables_number 123
_symmetry_space_group_name_Hall '-P 4 2'
loop_
_atom_site_label
_atom_site_type_symbol
_atom_site_fract_x
_atom_site_fract_y
_atom_site_fract_z
Cd1 Cd 0.0000 0.5000 0.0000
Ni1 Ni 0.0000 0.0000 0.5000
Hg1 Hg 0.5000 0.5000 0.5000
```

## Properties
Its size of the total moment is 0.00 μB/cell. The electronic total energy is -36.140 eV/atom. Its density is 11.561 g/cm³. The formation energy is 0.1523 eV/atom.